Record 1
Crystalline VMo2HRh at its relaxed geometry. Source: the Alexandria database, functional PBE.

The calculation puts the total magnetization at 0.000 μB per cell. For the total energy, the calculation gives -0.304 Ha/atom.

a = 3.950 Å, b = 3.950 Å, c = 3.965 Å
α = 90.00°, β = 90.00°, γ = 90.00°
Element x y z (fractional)
Mo: 0.500 0.000 0.000
V: 0.500 0.500 0.500
Rh: 0.000 0.000 0.500
Mo: 0.000 0.500 0.000
H: 0.000 0.000 0.000


Record 2
Crystalline Mo2HRhW at its relaxed geometry. Source: the Alexandria database, functional PBE.

The calculation puts the total magnetization at 0.000 μB per cell. For the total energy, the calculation gives -0.332 Ha/atom.

a = 4.027 Å, b = 4.027 Å, c = 3.940 Å
α = 90.00°, β = 90.00°, γ = 90.00°
Element x y z (fractional)
Rh: 0.000 0.000 0.500
Mo: 0.000 0.500 0.000
H: 0.000 0.000 0.000
W: 0.500 0.500 0.500
Mo: 0.500 0.000 0.000


Record 3
Crystalline MoH2RhW at its relaxed geometry. Source: the Alexandria database, functional PBE.

The calculation puts the total magnetization at 0.000 μB per cell. For the total energy, the calculation gives -0.244 Ha/atom.

a = 3.560 Å, b = 5.014 Å, c = 3.560 Å
α = 90.00°, β = 90.00°, γ = 90.00°
Element x y z (fractional)
Mo: 0.500 0.500 0.500
H: 0.000 0.000 0.500
W: 0.000 0.000 0.000
H: 0.500 0.000 0.000
Rh: 0.000 0.500 0.000


Record 4
Crystalline Mo2HRhW at its relaxed geometry. Source: the Alexandria database, functional PBE.

The calculation puts the total magnetization at 0.000 μB per cell. For the total energy, the calculation gives -0.331 Ha/atom.

a = 3.986 Å, b = 3.986 Å, c = 4.029 Å
α = 90.00°, β = 90.00°, γ = 90.00°
Element x y z (fractional)
Rh: 0.500 0.500 0.500
Mo: 0.000 0.500 0.000
Mo: 0.500 0.000 0.000
H: 0.000 0.000 0.000
W: 0.000 0.000 0.500


Record 5
Crystalline Zn2MoHRh at its relaxed geometry. Source: the Alexandria database, functional PBE.

The calculation puts the total magnetization at 1.209 μB per cell. For the total energy, the calculation gives -0.169 Ha/atom.

a = 4.285 Å, b = 3.366 Å, c = 4.285 Å
α = 90.00°, β = 90.00°, γ = 90.00°
Site moments in Bohr magnetons follow the coordinates.
Element x y z (fractional)
H: 0.000 0.000 0.000  0.00
Zn: 0.500 0.000 0.000  0.01
Rh: 0.000 0.500 0.000  0.19
Zn: 0.000 0.000 0.500  0.03
Mo: 0.500 0.500 0.500  0.86


Record 6
Crystalline Zr2MoHRh at its relaxed geometry. Source: the Alexandria database, functional PBE.

The calculation puts the total magnetization at 0.000 μB per cell. For the total energy, the calculation gives -0.298 Ha/atom.

a = 4.657 Å, b = 4.657 Å, c = 3.512 Å
α = 90.00°, β = 90.00°, γ = 90.00°
Element x y z (fractional)
Zr: 0.000 0.500 0.000
H: 0.000 0.000 0.000
Zr: 0.500 0.000 0.000
Rh: 0.500 0.500 0.500
Mo: 0.000 0.000 0.500


Record 7
Crystalline Zr2MoHRh at its relaxed geometry. Source: the Alexandria database, functional PBE.

The calculation puts the total magnetization at 0.000 μB per cell. For the total energy, the calculation gives -0.297 Ha/atom.

a = 4.672 Å, b = 4.672 Å, c = 3.488 Å
α = 90.00°, β = 90.00°, γ = 90.00°
Element x y z (fractional)
Rh: 0.000 0.000 0.500
Mo: 0.500 0.500 0.500
Zr: 0.000 0.500 0.000
H: 0.000 0.000 0.000
Zr: 0.500 0.000 0.000


Record 8
Crystalline MoH2Ru at its relaxed geometry. Source: the Alexandria database, functional PBE.

The calculation puts the total magnetization at 0.000 μB per cell. For the total energy, the calculation gives -0.219 Ha/atom.

a = 3.727 Å, b = 3.727 Å, c = 3.727 Å
α = 60.00°, β = 60.00°, γ = 60.00°
Element x y z (fractional)
Ru: 0.500 0.500 0.500
H: 0.750 0.750 0.750
Mo: 0.000 0.000 0.000
H: 0.250 0.250 0.250


Record 9
Crystalline Mo2H2Ru at its relaxed geometry. Source: the Alexandria database, functional PBE.

The calculation puts the total magnetization at 0.000 μB per cell. For the total energy, the calculation gives -0.268 Ha/atom.

a = 6.044 Å, b = 6.044 Å, c = 2.801 Å
α = 90.00°, β = 90.00°, γ = 90.00°
Element x y z (fractional)
H: 0.343 0.843 0.000
Mo: 0.147 0.647 0.500
H: 0.657 0.157 0.000
Mo: 0.353 0.147 0.500
H: 0.157 0.343 0.000
H: 0.843 0.657 0.000
Mo: 0.853 0.353 0.500
Mo: 0.647 0.853 0.500
Ru: 0.000 0.000 0.000
Ru: 0.500 0.500 0.000


Record 10
Crystalline MoH2Ru at its relaxed geometry. Source: the Alexandria database, functional PBE.

The calculation puts the total magnetization at 0.000 μB per cell. For the total energy, the calculation gives -0.241 Ha/atom.

a = 4.185 Å, b = 4.185 Å, c = 5.083 Å
α = 65.69°, β = 65.69°, γ = 90.00°
Element x y z (fractional)
H: 0.875 0.892 0.750
H: 0.108 0.625 0.250
H: 0.375 0.358 0.750
H: 0.642 0.125 0.250
Mo: 0.500 0.500 0.000
Ru: 0.750 0.250 0.500
Mo: 0.250 0.750 0.500
Ru: 0.000 0.000 0.000


Record 11
Crystalline MoH2Ru at its relaxed geometry. Source: the Alexandria database, functional PBE.

The calculation puts the total magnetization at 0.000 μB per cell. For the total energy, the calculation gives -0.239 Ha/atom.

a = 2.830 Å, b = 2.830 Å, c = 5.287 Å
α = 74.47°, β = 74.47°, γ = 60.00°
Element x y z (fractional)
H: 0.075 0.075 0.776
H: 0.257 0.257 0.228
Ru: 0.673 0.673 0.981
Mo: 0.495 0.495 0.515


Record 12
Crystalline Mo3H4Ru at its relaxed geometry. Source: the Alexandria database, functional PBE.

The calculation puts the total magnetization at 0.000 μB per cell. For the total energy, the calculation gives -0.254 Ha/atom.

a = 4.091 Å, b = 4.091 Å, c = 4.091 Å
α = 90.00°, β = 90.00°, γ = 90.00°
Element x y z (fractional)
Mo: 0.000 0.500 0.500
H: 0.000 0.000 0.500
Mo: 0.500 0.500 0.000
H: 0.000 0.500 0.000
H: 0.500 0.000 0.000
H: 0.500 0.500 0.500
Ru: 0.000 0.000 0.000
Mo: 0.500 0.000 0.500


Record 13
Crystalline MoHRu at its relaxed geometry. Source: the Alexandria database, functional PBE.

The calculation puts the total magnetization at 0.000 μB per cell. For the total energy, the calculation gives -0.282 Ha/atom.

a = 4.047 Å, b = 4.047 Å, c = 4.040 Å
α = 90.00°, β = 90.00°, γ = 90.27°
Element x y z (fractional)
Mo: 0.000 0.000 0.000
Mo: 0.500 0.500 0.000
H: 0.750 0.250 0.274
H: 0.250 0.750 0.726
Ru: 0.500 0.000 0.500
Ru: 0.000 0.500 0.500


Record 14
Crystalline Mo2H2Ru at its relaxed geometry. Source: the Alexandria database, functional PBE.

The calculation puts the total magnetization at 0.966 μB per cell. For the total energy, the calculation gives -0.267 Ha/atom.

a = 3.425 Å, b = 3.425 Å, c = 5.015 Å
α = 70.03°, β = 70.03°, γ = 90.00°
Site moments in Bohr magnetons follow the coordinates.
Element x y z (fractional)
Ru: 0.000 0.000 0.000  0.69
H: 0.250 0.750 0.500  0.00
Mo: 0.656 0.656 0.687  0.11
Mo: 0.344 0.344 0.313  0.11
H: 0.750 0.250 0.500  0.00


Record 15
Crystalline MoH2Ru2 at its relaxed geometry. Source: the Alexandria database, functional PBE.

The calculation puts the total magnetization at 0.000 μB per cell. For the total energy, the calculation gives -0.264 Ha/atom.

a = 2.815 Å, b = 2.814 Å, c = 6.926 Å
α = 90.00°, β = 90.00°, γ = 120.00°
Element x y z (fractional)
Mo: 0.500 0.500 0.000
H: 0.167 0.833 0.817
Ru: 0.833 0.167 0.660
Ru: 0.167 0.833 0.340
H: 0.833 0.167 0.183


Record 16
Crystalline Mo2HRu2 at its relaxed geometry. Source: the Alexandria database, functional PBE.

The calculation puts the total magnetization at 0.000 μB per cell. For the total energy, the calculation gives -0.315 Ha/atom.

a = 2.800 Å, b = 2.799 Å, c = 16.654 Å
α = 99.44°, β = 99.44°, γ = 90.32°
Element x y z (fractional)
Mo: 0.810 0.059 0.185
Ru: 0.552 0.802 0.929
Mo: 0.309 0.560 0.685
H: 0.622 0.378 0.500
Ru: 0.052 0.302 0.429
Mo: 0.440 0.691 0.315
Ru: 0.198 0.448 0.071
Mo: 0.941 0.190 0.815
H: 0.628 0.372 0.000
Ru: 0.698 0.948 0.571


Record 17
Crystalline Mo2H3Ru at its relaxed geometry. Source: the Alexandria database, functional PBE.

The calculation puts the total magnetization at 0.000 μB per cell. For the total energy, the calculation gives -0.252 Ha/atom.

a = 5.008 Å, b = 5.017 Å, c = 4.986 Å
α = 80.30°, β = 59.85°, γ = 70.39°
Element x y z (fractional)
Mo: 0.000 0.000 0.000
H: 0.416 0.753 0.664
H: 0.080 0.753 0.336
H: 0.920 0.247 0.664
Ru: 0.666 0.000 0.668
Mo: 0.500 0.500 0.000
Ru: 0.334 0.000 0.332
Mo: 0.166 0.500 0.668
Mo: 0.834 0.500 0.332
H: 0.256 0.245 0.000
H: 0.584 0.247 0.336
H: 0.744 0.755 0.000


Record 18
Crystalline MoHRu at its relaxed geometry. Source: the Alexandria database, functional PBE.

The calculation puts the total magnetization at 0.000 μB per cell. For the total energy, the calculation gives -0.289 Ha/atom.

a = 2.827 Å, b = 4.921 Å, c = 5.357 Å
α = 117.49°, β = 105.30°, γ = 90.00°
Element x y z (fractional)
Mo: 0.365 0.435 0.730
Ru: 0.630 0.365 0.260
H: 0.498 0.914 0.997
Mo: 0.133 0.870 0.266
Ru: 0.868 0.940 0.735
H: 0.999 0.391 0.998


Record 19
Crystalline MoH2Ru2 at its relaxed geometry. Source: the Alexandria database, functional PBE.

The calculation puts the total magnetization at 0.000 μB per cell. For the total energy, the calculation gives -0.262 Ha/atom.

a = 2.868 Å, b = 2.868 Å, c = 6.368 Å
α = 76.99°, β = 76.99°, γ = 90.00°
Element x y z (fractional)
Mo: 0.000 0.000 0.000
Ru: 0.350 0.350 0.301
Ru: 0.650 0.650 0.699
H: 0.750 0.250 0.500
H: 0.250 0.750 0.500


Record 20
Crystalline MoH2Ru2 at its relaxed geometry. Source: the Alexandria database, functional PBE.

The calculation puts the total magnetization at 0.000 μB per cell. For the total energy, the calculation gives -0.257 Ha/atom.

a = 5.989 Å, b = 5.989 Å, c = 2.854 Å
α = 90.00°, β = 90.00°, γ = 90.00°
Element x y z (fractional)
Ru: 0.145 0.645 0.500
Mo: 0.500 0.500 0.000
Ru: 0.355 0.145 0.500
H: 0.784 0.716 0.000
H: 0.284 0.784 0.000
H: 0.716 0.216 0.000
H: 0.216 0.284 0.000
Mo: 0.000 0.000 0.000
Ru: 0.645 0.855 0.500
Ru: 0.855 0.355 0.500


Record 21
Crystalline MoH2Ru at its relaxed geometry. Source: the Alexandria database, functional PBE.

The calculation puts the total magnetization at 0.000 μB per cell. For the total energy, the calculation gives -0.238 Ha/atom.

a = 2.912 Å, b = 2.912 Å, c = 5.223 Å
α = 73.81°, β = 73.81°, γ = 60.00°
Element x y z (fractional)
H: 0.124 0.124 0.627
H: 0.876 0.876 0.373
Mo: 0.000 0.000 0.000
Ru: 0.500 0.500 0.500


Record 22
Crystalline Mo3HRu at its relaxed geometry. Source: the Alexandria database, functional PBE.

The calculation puts the total magnetization at 0.000 μB per cell. For the total energy, the calculation gives -0.327 Ha/atom.

a = 3.993 Å, b = 3.993 Å, c = 3.993 Å
α = 90.00°, β = 90.00°, γ = 90.00°
Element x y z (fractional)
H: 0.000 0.000 0.000
Mo: 0.000 0.000 0.500
Mo: 0.500 0.000 0.000
Ru: 0.500 0.500 0.500
Mo: 0.000 0.500 0.000


Record 23
Crystalline Mo2H3Ru3 at its relaxed geometry. Source: the Alexandria database, functional PBE.

The calculation puts the total magnetization at 0.000 μB per cell. For the total energy, the calculation gives -0.266 Ha/atom.

a = 3.986 Å, b = 4.849 Å, c = 9.584 Å
α = 90.17°, β = 90.00°, γ = 114.27°
Element x y z (fractional)
H: 0.168 0.335 0.575
H: 0.149 0.297 0.913
Ru: 0.745 0.489 0.255
H: 0.850 0.699 0.427
Ru: 0.061 0.122 0.378
Mo: 0.946 0.892 0.628
Ru: 0.933 0.866 0.881
Ru: 0.055 0.109 0.125
H: 0.724 0.448 0.736
Ru: 0.653 0.306 0.539
Ru: 0.251 0.503 0.749
H: 0.838 0.675 0.087
Mo: 0.357 0.714 0.454
Mo: 0.641 0.283 0.961
Mo: 0.346 0.693 0.047
H: 0.264 0.529 0.251


Record 24
Crystalline MoHRu at its relaxed geometry. Source: the Alexandria database, functional PBE.

The calculation puts the total magnetization at 0.000 μB per cell. For the total energy, the calculation gives -0.288 Ha/atom.

a = 2.829 Å, b = 4.856 Å, c = 4.901 Å
α = 99.36°, β = 106.78°, γ = 90.00°
Element x y z (fractional)
H: 0.756 0.252 0.513
Mo: 0.113 0.356 0.226
Mo: 0.887 0.644 0.774
Ru: 0.619 0.862 0.237
Ru: 0.381 0.138 0.763
H: 0.244 0.748 0.487


Record 25
Crystalline MoH2Ru at its relaxed geometry. Source: the Alexandria database, functional PBE.

The calculation puts the total magnetization at 0.000 μB per cell. For the total energy, the calculation gives -0.248 Ha/atom.

a = 4.569 Å, b = 5.021 Å, c = 5.819 Å
α = 90.00°, β = 90.00°, γ = 90.00°
Element x y z (fractional)
H: 0.999 0.751 0.617
H: 0.500 0.250 0.890
Ru: 0.250 0.914 0.377
Mo: 0.250 0.919 0.870
Ru: 0.750 0.086 0.623
H: 0.001 0.249 0.383
Mo: 0.250 0.419 0.130
H: 0.500 0.750 0.110
Ru: 0.250 0.414 0.623
Mo: 0.750 0.581 0.870
H: 0.000 0.250 0.890
Ru: 0.750 0.586 0.377
Mo: 0.750 0.081 0.130
H: 0.499 0.749 0.617
H: 0.501 0.251 0.383
H: 0.000 0.750 0.110


Record 26
Crystalline Mo3HRu at its relaxed geometry. Source: the Alexandria database, functional PBE.

The calculation puts the total magnetization at 0.632 μB per cell. For the total energy, the calculation gives -0.247 Ha/atom.

a = 4.698 Å, b = 4.698 Å, c = 4.698 Å
α = 90.00°, β = 90.00°, γ = 90.00°
Site moments in Bohr magnetons follow the coordinates.
Element x y z (fractional)
Ru: 0.000 0.000 0.000  0.01
H: 0.500 0.500 0.500  0.02
Mo: 0.500 0.000 0.000  -0.16
Mo: 0.000 0.500 0.000  -0.17
Mo: 0.000 0.000 0.500  -0.24